4
Lattice="2.8891 0.0000 0.0000 0.0000 4.2606 0.0000 0.0000 0.0000 4.4621" Properties=species:S:1:pos:R:3 comment="ZnFeRu2, optimized geometry, DFT PBE-GGA" m_tot_mub_per_cell=3.75 sg="Pmmm (47)" delta_e_f_kj_per_mol_fu=95 dos_ef_per_ev_atom=1.3198 pbc="T T T"
Zn 0.0000 0.0000 0.0000
Fe 1.4445 0.0000 2.2310
Ru 0.0000 2.1303 2.2310
Ru 1.4445 2.1303 0.0000